Entry 1:
A plane-wave DFT calculation with PBE was carried out for crystalline Re3BPb at its relaxed geometry.

Structure (CIF):
```
data_Re3BPb
_chemical_formula_sum 'Re3 B1 Pb1'
_cell_length_a 5.014
_cell_length_b 5.014
_cell_length_c 5.014
_cell_angle_alpha 90.00
_cell_angle_beta 90.00
_cell_angle_gamma 90.00
_space_group_name_H-M_alt 'P m -3 m'
_space_group_IT_number 221
_space_group_name_Hall '-P 4 2 3'
loop_
_atom_site_label
_atom_site_type_symbol
_atom_site_fract_x
_atom_site_fract_y
_atom_site_fract_z
Re1 Re 0.000 0.000 0.500
B1 B 0.500 0.500 0.500
Pb1 Pb 0.000 0.000 0.000
```

**Total energy**: -26.62 eV for the cell shown
**Energy above the lowest structure with this stoichiometry**: 17.52 eV/f.u.
**ΔH_f (0 K)**: 4.221 eV per atom
**Fermi-level density of states**: 5.32 states/eV/cell
**Volume**: 126.06 Å³/cell



Entry 2:
A plane-wave DFT calculation with PBE was carried out for crystalline Y2NiBr at its relaxed geometry.

Structure (CIF):
```
data_Y2NiBr
_chemical_formula_sum 'Y2 Ni1 Br1'
_cell_length_a 4.015
_cell_length_b 4.015
_cell_length_c 5.824
_cell_angle_alpha 90.00
_cell_angle_beta 90.00
_cell_angle_gamma 90.00
_space_group_name_H-M_alt 'P 4 m m'
_space_group_IT_number 99
loop_
_space_group_symop_operation_xyz
'x,y,z'
'-y,x,z'
'-x,-y,z'
'y,-x,z'
'-x,y,z'
'y,x,z'
'x,-y,z'
'-y,-x,z'
loop_
_atom_site_label
_atom_site_type_symbol
_atom_site_fract_x
_atom_site_fract_y
_atom_site_fract_z
Y1 Y 0.000 0.000 0.000
Y2 Y 0.500 0.500 0.499
Ni1 Ni 0.500 0.500 0.000
Br1 Br 0.000 0.000 0.500
```

**Total energy**: -22.78 eV for the cell shown
**Energy above the lowest structure with this stoichiometry**: 0.81 eV/f.u.
**Formation energy from raw total energies**: -232 kJ/mol of formula units
**Fermi-level density of states**: 3.20 states/eV/cell
**Volume**: 93.87 Å³/cell



Entry 3:
A plane-wave DFT calculation with PBE was carried out for crystalline TeWAu2 at its relaxed geometry.

Structure (CIF):
```
data_TeWAu2
_chemical_formula_sum 'Te2 W2 Au4'
_cell_length_a 4.018
_cell_length_b 4.018
_cell_length_c 9.533
_cell_angle_alpha 90.00
_cell_angle_beta 90.00
_cell_angle_gamma 90.00
_space_group_name_H-M_alt 'I 4/m m m'
_space_group_IT_number 139
_space_group_name_Hall '-I 4 2'
loop_
_atom_site_label
_atom_site_type_symbol
_atom_site_fract_x
_atom_site_fract_y
_atom_site_fract_z
Te1 Te 0.000 0.000 0.000
W1 W 0.000 0.000 0.500
Au1 Au 0.000 0.500 0.250
```

**Total energy**: -38.93 eV for the cell shown
**Formation energy from raw total energies**: 307 kJ/mol of formula units
**Fermi-level density of states**: 8.22 states/eV/cell
**Volume**: 153.88 Å³/cell



Entry 4:
A plane-wave DFT calculation with PBE was carried out for crystalline CsSi3I at its relaxed geometry.

Structure (CIF):
```
data_CsSi3I
_chemical_formula_sum 'Cs1 Si3 I1'
_cell_length_a 5.569
_cell_length_b 5.569
_cell_length_c 5.569
_cell_angle_alpha 90.00
_cell_angle_beta 90.00
_cell_angle_gamma 90.00
_space_group_name_H-M_alt 'P m -3 m'
_space_group_IT_number 221
_space_group_name_Hall '-P 4 2 3'
loop_
_atom_site_label
_atom_site_type_symbol
_atom_site_fract_x
_atom_site_fract_y
_atom_site_fract_z
Cs1 Cs 0.000 0.000 0.000
Si1 Si 0.000 0.500 0.500
I1 I 0.500 0.500 0.500
```

**Total energy**: -12.63 eV for the cell shown
**Energy above the lowest structure with this stoichiometry**: 0.00 eV/f.u.
**Formation energy from raw total energies**: 583 kJ/mol of formula units
**Fermi-level density of states**: 3.35 states/eV/cell
**Volume**: 172.70 Å³/cell



Entry 5:
A plane-wave DFT calculation with PBE was carried out for crystalline Ni2RuCl at its relaxed geometry.

Structure (CIF):
```
data_Ni2RuCl
_chemical_formula_sum 'Ni2 Ru1 Cl1'
_cell_length_a 2.809
_cell_length_b 2.789
_cell_length_c 7.131
_cell_angle_alpha 90.00
_cell_angle_beta 90.10
_cell_angle_gamma 90.00
_space_group_name_H-M_alt 'P 1 2/m 1'
_space_group_IT_number 10
loop_
_space_group_symop_operation_xyz
'x,y,z'
'-x,-y,-z'
'-x,y,-z'
'x,-y,z'
loop_
_atom_site_label
_atom_site_type_symbol
_atom_site_fract_x
_atom_site_fract_y
_atom_site_fract_z
Ni1 Ni 0.001 0.000 0.230
Ru1 Ru 0.500 0.500 0.000
Cl1 Cl 0.000 0.500 0.500
```

**Total energy**: -21.61 eV for the cell shown
**Energy above the lowest structure with this stoichiometry**: 0.00 eV/f.u.
**Formation energy from raw total energies**: 104 kJ/mol of formula units
**Fermi-level density of states**: 5.20 states/eV/cell
**Volume**: 55.86 Å³/cell



Entry 6:
A plane-wave DFT calculation with PBE was carried out for crystalline CsBe2FeS at its relaxed geometry.

Structure (CIF):
```
data_CsBe2FeS
_chemical_formula_sum 'Cs1 Be2 Fe1 S1'
_cell_length_a 4.207
_cell_length_b 4.207
_cell_length_c 6.267
_cell_angle_alpha 90.00
_cell_angle_beta 90.00
_cell_angle_gamma 90.00
_space_group_name_H-M_alt 'P 4/m m m'
_space_group_IT_number 123
_space_group_name_Hall '-P 4 2'
loop_
_atom_site_label
_atom_site_type_symbol
_atom_site_fract_x
_atom_site_fract_y
_atom_site_fract_z
Cs1 Cs 0.000 0.000 0.000
Be1 Be 0.000 0.500 0.500
Fe1 Fe 0.500 0.500 0.000
S1 S 0.000 0.000 0.500
```

**Total energy**: -14.85 eV for the cell shown
**Formation energy from raw total energies**: 583 kJ/mol of formula units
**Fermi-level density of states**: 6.59 states/eV/cell
**Volume**: 110.93 Å³/cell



Entry 7:
A plane-wave DFT calculation with PBE was carried out for crystalline Tl2Ni at its relaxed geometry.

Structure (CIF):
```
data_Tl2Ni
_chemical_formula_sum 'Tl8 Ni4'
_cell_length_a 3.279
_cell_length_b 3.279
_cell_length_c 24.940
_cell_angle_alpha 90.00
_cell_angle_beta 90.00
_cell_angle_gamma 90.00
_space_group_name_H-M_alt 'I 41/a m d'
_space_group_IT_number 141
loop_
_space_group_symop_operation_xyz
'x,y,z'
'-x,-y,-z'
'-y+1/4,x+3/4,z+1/4'
'y+1/4,-x+3/4,-z+1/4'
'-x+1/2,-y,z+1/2'
'x+1/2,y,-z+1/2'
'y+1/4,-x+1/4,z+3/4'
'-y+1/4,x+1/4,-z+3/4'
'x,-y,-z'
'-x,y,z'
'-y+1/4,-x+1/4,-z+3/4'
'y+1/4,x+1/4,z+3/4'
'-x+1/2,y,-z+1/2'
'x+1/2,-y,z+1/2'
'y+1/4,x+3/4,-z+1/4'
'-y+1/4,-x+3/4,z+1/4'
'x+1/2,y+1/2,z+1/2'
'-x+1/2,-y+1/2,-z+1/2'
'-y+3/4,x+1/4,z+3/4'
'y+3/4,-x+1/4,-z+3/4'
'-x,-y+1/2,z'
'x,y+1/2,-z'
'y+3/4,-x+3/4,z+1/4'
'-y+3/4,x+3/4,-z+1/4'
'x+1/2,-y+1/2,-z+1/2'
'-x+1/2,y+1/2,z+1/2'
'-y+3/4,-x+3/4,-z+1/4'
'y+3/4,x+3/4,z+1/4'
'-x,y+1/2,-z'
'x,-y+1/2,z'
'y+3/4,x+1/4,-z+3/4'
'-y+3/4,-x+1/4,z+3/4'
loop_
_atom_site_label
_atom_site_type_symbol
_atom_site_fract_x
_atom_site_fract_y
_atom_site_fract_z
Tl1 Tl 0.000 0.250 0.309
Ni1 Ni 0.000 0.250 0.875
```

**Total energy**: -38.67 eV for the cell shown
**ΔH_f (0 K)**: 0.282 eV per atom
**Fermi-level density of states**: 7.51 states/eV/cell
**Volume**: 268.13 Å³/cell



Entry 8:
A plane-wave DFT calculation with PBE was carried out for crystalline Nd6ErMg2 at its relaxed geometry.

Structure (CIF):
```
data_Nd6ErMg2
_chemical_formula_sum 'Nd24 Er4 Mg8'
_cell_length_a 16.728
_cell_length_b 11.797
_cell_length_c 5.928
_cell_angle_alpha 90.00
_cell_angle_beta 98.56
_cell_angle_gamma 90.00
_space_group_name_H-M_alt 'C 1 2/c 1'
_space_group_IT_number 15
loop_
_space_group_symop_operation_xyz
'x,y,z'
'-x,-y,-z'
'-x,y,-z+1/2'
'x,-y,z+1/2'
'x+1/2,y+1/2,z'
'-x+1/2,-y+1/2,-z'
'-x+1/2,y+1/2,-z+1/2'
'x+1/2,-y+1/2,z+1/2'
loop_
_atom_site_label
_atom_site_type_symbol
_atom_site_fract_x
_atom_site_fract_y
_atom_site_fract_z
Nd1 Nd 0.062 0.111 0.035
Nd2 Nd 0.109 0.390 0.298
Nd3 Nd 0.233 0.384 0.853
Er1 Er 0.000 0.353 0.750
Mg1 Mg 0.160 0.139 0.591
```

**Total energy**: -143.88 eV for the cell shown
**Energy above the lowest structure with this stoichiometry**: 0.00 eV/f.u.
**ΔH_f (0 K)**: 0.043 eV per atom
**Fermi-level density of states**: 47.18 states/eV/cell
**Volume**: 1156.81 Å³/cell



Entry 9:
A plane-wave DFT calculation with PBE was carried out for crystalline CoRe2Te at its relaxed geometry.

Structure (CIF):
```
data_CoRe2Te
_chemical_formula_sum 'Co1 Re2 Te1'
_cell_length_a 3.041
_cell_length_b 3.041
_cell_length_c 6.854
_cell_angle_alpha 90.00
_cell_angle_beta 90.00
_cell_angle_gamma 90.00
_space_group_name_H-M_alt 'P 4 m m'
_space_group_IT_number 99
loop_
_space_group_symop_operation_xyz
'x,y,z'
'-y,x,z'
'-x,-y,z'
'y,-x,z'
'-x,y,z'
'y,x,z'
'x,-y,z'
'-y,-x,z'
loop_
_atom_site_label
_atom_site_type_symbol
_atom_site_fract_x
_atom_site_fract_y
_atom_site_fract_z
Co1 Co 0.000 0.000 0.000
Re1 Re 0.000 0.000 0.457
Re2 Re 0.500 0.500 0.236
Te1 Te 0.500 0.500 0.761
```

**Total energy**: -33.25 eV for the cell shown
**Formation energy from raw total energies**: 183 kJ/mol of formula units
**Fermi-level density of states**: 4.21 states/eV/cell
**Volume**: 63.40 Å³/cell



Entry 10:
A plane-wave DFT calculation with PBE was carried out for crystalline SrAgI at its relaxed geometry.

Structure (CIF):
```
data_SrAgI
_chemical_formula_sum 'Sr4 Ag4 I4'
_cell_length_a 4.258
_cell_length_b 18.955
_cell_length_c 4.969
_cell_angle_alpha 90.00
_cell_angle_beta 90.00
_cell_angle_gamma 90.00
_space_group_name_H-M_alt 'C m c m'
_space_group_IT_number 63
_space_group_name_Hall '-C 2c 2'
loop_
_atom_site_label
_atom_site_type_symbol
_atom_site_fract_x
_atom_site_fract_y
_atom_site_fract_z
Sr1 Sr 0.000 0.105 0.250
Ag1 Ag 0.000 0.474 0.250
I1 I 0.000 0.316 0.250
```

**Total energy**: -34.39 eV for the cell shown
**Energy above the lowest structure with this stoichiometry**: 0.30 eV/f.u.
**Formation energy from raw total energies**: -243 kJ/mol of formula units
**Fermi-level density of states**: 2.69 states/eV/cell
**Volume**: 401.03 Å³/cell



Copy entry 10 word for word.
A plane-wave DFT calculation with PBE was carried out for crystalline SrAgI at its relaxed geometry.

Structure (CIF):
```
data_SrAgI
_chemical_formula_sum 'Sr4 Ag4 I4'
_cell_length_a 4.258
_cell_length_b 18.955
_cell_length_c 4.969
_cell_angle_alpha 90.00
_cell_angle_beta 90.00
_cell_angle_gamma 90.00
_space_group_name_H-M_alt 'C m c m'
_space_group_IT_number 63
_space_group_name_Hall '-C 2c 2'
loop_
_atom_site_label
_atom_site_type_symbol
_atom_site_fract_x
_atom_site_fract_y
_atom_site_fract_z
Sr1 Sr 0.000 0.105 0.250
Ag1 Ag 0.000 0.474 0.250
I1 I 0.000 0.316 0.250
```

**Total energy**: -34.39 eV for the cell shown
**Energy above the lowest structure with this stoichiometry**: 0.30 eV/f.u.
**Formation energy from raw total energies**: -243 kJ/mol of formula units
**Fermi-level density of states**: 2.69 states/eV/cell
**Volume**: 401.03 Å³/cell